Material: Ce2SmRu3
Method: DFT, PBE
State: optimized geometry

Computed properties:
As for the symmetry: No. 191. The energy relative to the elements comes out at -1.3 eV/f.u. As for the total magnetization: 0.000 μB per atom. The energy above the most stable polymorph in this dataset is 59 meV/atom. The calculated density comes out at 9.30 g cm⁻³.

a b c (Å): 6.117 6.117 4.044
angles (deg): 90.00 90.00 120.00
Sites, in units of the cell vectors:
Ce 0.333 0.667 0.000
Ce 0.667 0.333 0.000
Sm 0.000 0.000 0.000
Ru 0.000 0.500 0.500
Ru 0.500 0.000 0.500
Ru 0.500 0.500 0.500